[1]
# Na2AcHg2

An optimized crystal structure of Na2AcHg2 (GGA-PBE, Alexandria via LeMat-Bulk).

* DFT formation energy: -0.25 eV/atom
* ρ: 7.28 g/cm³

abc: 15.511 15.511 15.511
angles: 165.24 161.13 24.05
Fractional coordinates of all 10 atoms:
Na 0.047 0.297 0.750
Na 0.440 0.190 0.250
Na 0.560 0.810 0.750
Na 0.953 0.703 0.250
Ac 0.321 0.571 0.750
Ac 0.679 0.429 0.250
Hg 0.125 0.875 0.250
Hg 0.225 0.975 0.250
Hg 0.775 0.025 0.750
Hg 0.875 0.125 0.750

=====

[2]
# Na4AcHg4

An optimized crystal structure of Na4AcHg4 (GGA-PBE, Alexandria via LeMat-Bulk).

* DFT formation energy: -0.19 eV/atom
* ρ: 6.76 g/cm³

abc: 11.930 11.930 3.870
angles: 90.00 90.00 90.00
Fractional coordinates of all 18 atoms:
Na 0.100 0.661 0.244
Na 0.161 0.900 0.744
Na 0.339 0.600 0.744
Na 0.400 0.839 0.244
Na 0.600 0.161 0.756
Na 0.661 0.400 0.256
Na 0.839 0.100 0.256
Na 0.900 0.339 0.756
Ac 0.250 0.250 0.250
Ac 0.750 0.750 0.750
Hg 0.050 0.124 0.753
Hg 0.124 0.450 0.747
Hg 0.376 0.050 0.747
Hg 0.450 0.376 0.753
Hg 0.550 0.624 0.247
Hg 0.624 0.950 0.253
Hg 0.876 0.550 0.253
Hg 0.950 0.876 0.247

=====

[3]
# NaAc3Hg5

An optimized crystal structure of NaAc3Hg5 (GGA-PBE, Alexandria via LeMat-Bulk).

* DFT formation energy: -0.41 eV/atom
* ρ: 10.13 g/cm³

abc: 9.792 9.792 6.738
angles: 90.00 90.00 120.00
Fractional coordinates of all 18 atoms:
Na 0.000 0.000 0.000
Na 0.000 0.000 0.500
Ac 0.000 0.370 0.250
Ac 0.000 0.630 0.750
Ac 0.370 0.000 0.250
Ac 0.370 0.370 0.750
Ac 0.630 0.000 0.750
Ac 0.630 0.630 0.250
Hg 0.000 0.292 0.750
Hg 0.000 0.708 0.250
Hg 0.292 0.000 0.750
Hg 0.292 0.292 0.250
Hg 0.333 0.667 0.000
Hg 0.333 0.667 0.500
Hg 0.667 0.333 0.000
Hg 0.667 0.333 0.500
Hg 0.708 0.000 0.250
Hg 0.708 0.708 0.750

=====

Question: Among the records above, which one has the highest ρ?
Answer: NaAc3Hg5

=====

Question: Look up the DFT formation energy of the second one.
Answer: -0.19 eV/atom

=====

Question: Which of these has the lowest ρ?
Answer: Na4AcHg4

=====

Question: The lowest DFT formation energy belongs to which entry?
Answer: NaAc3Hg5